Entry 1:
# Al2Ru PBE-GGA relaxed
# Symmetry   No. 8
# ΔE_f   -0.47 eV per atom
# Raw total energy   -6.053 eV per atom
data_Al2Ru
_chemical_formula_sum 'Al4 Ru2'
_symmetry_space_group_name_H-M 'P 1'
_symmetry_Int_Tables_number 1
_symmetry_space_group_name_Hall 'P 1'
_cell_length_a 4.9497
_cell_length_b 4.9497
_cell_length_c 6.3285
_cell_angle_alpha 79.48
_cell_angle_beta 79.48
_cell_angle_gamma 35.46
loop_
_atom_site_label
_atom_site_type_symbol
_atom_site_fract_x
_atom_site_fract_y
_atom_site_fract_z
Al1 Al 0.9772 0.9772 0.9735
Ru1 Ru 0.9718 0.9718 0.5697
Al2 Al 0.6132 0.6132 0.2627
Al3 Al 0.3311 0.3311 0.3575
Al4 Al 0.6788 0.6788 0.6913
Ru2 Ru 0.2612 0.2612 0.9786

Entry 2:
# Al5Ru PBE-GGA relaxed
# Symmetry   No. 38
# ΔE_f   -0.24 eV per atom
# Raw total energy   -4.905 eV per atom
data_Al5Ru
_chemical_formula_sum 'Al5 Ru1'
_symmetry_space_group_name_H-M 'P 1'
_symmetry_Int_Tables_number 1
_symmetry_space_group_name_Hall 'P 1'
_cell_length_a 7.1708
_cell_length_b 7.1708
_cell_length_c 4.3611
_cell_angle_alpha 90.00
_cell_angle_beta 90.00
_cell_angle_gamma 155.82
loop_
_atom_site_label
_atom_site_type_symbol
_atom_site_fract_x
_atom_site_fract_y
_atom_site_fract_z
Al1 Al 0.4557 0.5443 0.5000
Al2 Al 0.6611 0.3389 0.0000
Al3 Al 0.0021 0.9979 0.0000
Al4 Al 0.3359 0.6641 0.0000
Ru1 Ru 0.1086 0.8914 0.5000
Al5 Al 0.7698 0.2302 0.5000

Entry 3:
# Al3Ru5 PBE-GGA relaxed
# Symmetry   No. 65
# Energy relative to the lowest polymorph listed for this composition   0 meV/atom
# ΔE_f   -0.39 eV per atom
# Raw total energy   -7.594 eV per atom
data_Al3Ru5
_chemical_formula_sum 'Al3 Ru5'
_symmetry_space_group_name_H-M 'P 1'
_symmetry_Int_Tables_number 1
_symmetry_space_group_name_Hall 'P 1'
_cell_length_a 5.2341
_cell_length_b 5.2341
_cell_length_c 4.2876
_cell_angle_alpha 90.00
_cell_angle_beta 90.00
_cell_angle_gamma 109.37
loop_
_atom_site_label
_atom_site_type_symbol
_atom_site_fract_x
_atom_site_fract_y
_atom_site_fract_z
Al1 Al 0.2475 0.7525 0.5000
Ru1 Ru 0.5000 0.0000 0.0000
Ru2 Ru 0.7470 0.7470 0.5000
Al2 Al 0.7525 0.2475 0.5000
Ru3 Ru 0.2530 0.2530 0.5000
Ru4 Ru 0.0000 0.0000 0.0000
Ru5 Ru 0.0000 0.5000 0.0000
Al3 Al 0.5000 0.5000 0.0000

Entry 4:
# AlRu2 PBE-GGA relaxed
# Symmetry   No. 141
# ΔE_f   -0.03 eV per atom
# Raw total energy   -7.463 eV per atom
data_AlRu2
_chemical_formula_sum 'Al2 Ru4'
_symmetry_space_group_name_H-M 'P 1'
_symmetry_Int_Tables_number 1
_symmetry_space_group_name_Hall 'P 1'
_cell_length_a 11.1124
_cell_length_b 11.1124
_cell_length_c 11.1124
_cell_angle_alpha 165.43
_cell_angle_beta 165.43
_cell_angle_gamma 20.66
loop_
_atom_site_label
_atom_site_type_symbol
_atom_site_fract_x
_atom_site_fract_y
_atom_site_fract_z
Al1 Al 0.0000 0.0000 0.0000
Ru1 Ru 0.3266 0.8266 0.5000
Ru2 Ru 0.4234 0.4234 0.0000
Al2 Al 0.7500 0.2500 0.5000
Ru3 Ru 0.1734 0.6734 0.5000
Ru4 Ru 0.5766 0.5766 0.0000

Entry 5:
# AlRu2 PBE-GGA relaxed
# Symmetry   No. 164
# ΔE_f   -0.21 eV per atom
# Raw total energy   -7.640 eV per atom
data_AlRu2
_chemical_formula_sum 'Al1 Ru2'
_symmetry_space_group_name_H-M 'P 1'
_symmetry_Int_Tables_number 1
_symmetry_space_group_name_Hall 'P 1'
_cell_length_a 2.7674
_cell_length_b 2.7674
_cell_length_c 6.3620
_cell_angle_alpha 90.00
_cell_angle_beta 90.00
_cell_angle_gamma 120.00
loop_
_atom_site_label
_atom_site_type_symbol
_atom_site_fract_x
_atom_site_fract_y
_atom_site_fract_z
Ru1 Ru 0.3333 0.6667 0.3348
Ru2 Ru 0.6667 0.3333 0.6652
Al1 Al 0.0000 0.0000 0.0000

Entry 6:
# Al13Ru2 PBE-GGA relaxed
# Symmetry   No. 2
# ΔE_f   -0.18 eV per atom
# Raw total energy   -4.658 eV per atom
data_Al13Ru2
_chemical_formula_sum 'Al13 Ru2'
_symmetry_space_group_name_H-M 'P 1'
_symmetry_Int_Tables_number 1
_symmetry_space_group_name_Hall 'P 1'
_cell_length_a 5.0766
_cell_length_b 6.4456
_cell_length_c 8.1263
_cell_angle_alpha 110.17
_cell_angle_beta 92.81
_cell_angle_gamma 98.22
loop_
_atom_site_label
_atom_site_type_symbol
_atom_site_fract_x
_atom_site_fract_y
_atom_site_fract_z
Al1 Al 0.2739 0.8018 0.1877
Al2 Al 0.0000 0.0000 0.0000
Ru1 Ru 0.1947 0.2002 0.3509
Al3 Al 0.7552 0.0211 0.4277
Al4 Al 0.7261 0.1982 0.8123
Al5 Al 0.7408 0.6234 0.0760
Al6 Al 0.9731 0.5349 0.3480
Al7 Al 0.4353 0.8095 0.8532
Ru2 Ru 0.8053 0.7998 0.6491
Al8 Al 0.0269 0.4651 0.6520
Al9 Al 0.5181 0.4122 0.6246
Al10 Al 0.2592 0.3766 0.9240
Al11 Al 0.2448 0.9789 0.5723
Al12 Al 0.4819 0.5878 0.3754
Al13 Al 0.5647 0.1905 0.1468

Entry 7:
# AlRu5 PBE-GGA relaxed
# Symmetry   No. 216
# Energy relative to the lowest polymorph listed for this composition   556 meV/atom
# ΔE_f   0.42 eV per atom
# Raw total energy   -7.929 eV per atom
data_AlRu5
_chemical_formula_sum 'Al1 Ru5'
_symmetry_space_group_name_H-M 'P 1'
_symmetry_Int_Tables_number 1
_symmetry_space_group_name_Hall 'P 1'
_cell_length_a 5.0393
_cell_length_b 5.0393
_cell_length_c 5.0393
_cell_angle_alpha 60.00
_cell_angle_beta 60.00
_cell_angle_gamma 60.00
loop_
_atom_site_label
_atom_site_type_symbol
_atom_site_fract_x
_atom_site_fract_y
_atom_site_fract_z
Ru1 Ru 0.6251 0.6251 0.1248
Al1 Al 0.0000 0.0000 0.0000
Ru2 Ru 0.6251 0.1248 0.6251
Ru3 Ru 0.2500 0.2500 0.2500
Ru4 Ru 0.6251 0.6251 0.6251
Ru5 Ru 0.1248 0.6251 0.6251

Entry 8:
# AlRu2 PBE-GGA relaxed
# Symmetry   No. 191
# ΔE_f   -0.06 eV per atom
# Raw total energy   -7.491 eV per atom
data_AlRu2
_chemical_formula_sum 'Al1 Ru2'
_symmetry_space_group_name_H-M 'P 1'
_symmetry_Int_Tables_number 1
_symmetry_space_group_name_Hall 'P 1'
_cell_length_a 4.3215
_cell_length_b 4.3215
_cell_length_c 2.6937
_cell_angle_alpha 90.00
_cell_angle_beta 90.00
_cell_angle_gamma 120.00
loop_
_atom_site_label
_atom_site_type_symbol
_atom_site_fract_x
_atom_site_fract_y
_atom_site_fract_z
Al1 Al 0.0000 0.0000 0.0000
Ru1 Ru 0.3333 0.6667 0.5000
Ru2 Ru 0.6667 0.3333 0.5000

Entry 9:
# Al2Ru PBE-GGA relaxed
# Symmetry   No. 141
# ΔE_f   -0.46 eV per atom
# Raw total energy   -6.052 eV per atom
data_Al2Ru
_chemical_formula_sum 'Al8 Ru4'
_symmetry_space_group_name_H-M 'P 1'
_symmetry_Int_Tables_number 1
_symmetry_space_group_name_Hall 'P 1'
_cell_length_a 11.4659
_cell_length_b 11.4659
_cell_length_c 11.4659
_cell_angle_alpha 160.26
_cell_angle_beta 160.26
_cell_angle_gamma 28.05
loop_
_atom_site_label
_atom_site_type_symbol
_atom_site_fract_x
_atom_site_fract_y
_atom_site_fract_z
Al1 Al 0.4126 0.4126 0.0000
Ru1 Ru 0.1772 0.6772 0.5000
Al2 Al 0.5874 0.5874 0.0000
Al3 Al 0.4996 0.9996 0.5000
Ru2 Ru 0.0728 0.0728 0.0000
Al4 Al 0.8374 0.3374 0.5000
Al5 Al 0.7504 0.7504 0.0000
Al6 Al 0.2496 0.2496 0.0000
Ru3 Ru 0.9272 0.9272 0.0000
Al7 Al 0.0004 0.5004 0.5000
Ru4 Ru 0.3228 0.8228 0.5000
Al8 Al 0.6626 0.1626 0.5000

Entry 10:
# AlRu5 PBE-GGA relaxed
# Symmetry   No. 191
# Energy relative to the lowest polymorph listed for this composition   657 meV/atom
# ΔE_f   0.53 eV per atom
# Raw total energy   -7.827 eV per atom
data_AlRu5
_chemical_formula_sum 'Al1 Ru5'
_symmetry_space_group_name_H-M 'P 1'
_symmetry_Int_Tables_number 1
_symmetry_space_group_name_Hall 'P 1'
_cell_length_a 4.9011
_cell_length_b 4.9011
_cell_length_c 4.6091
_cell_angle_alpha 90.00
_cell_angle_beta 90.00
_cell_angle_gamma 120.00
loop_
_atom_site_label
_atom_site_type_symbol
_atom_site_fract_x
_atom_site_fract_y
_atom_site_fract_z
Ru1 Ru 0.6667 0.3333 0.0000
Al1 Al 0.0000 0.0000 0.0000
Ru2 Ru 0.0000 0.5000 0.5000
Ru3 Ru 0.5000 0.5000 0.5000
Ru4 Ru 0.3333 0.6667 0.0000
Ru5 Ru 0.5000 0.0000 0.5000

Entry 11:
# Al5Ru PBE-GGA relaxed
# Symmetry   No. 189
# ΔE_f   -0.31 eV per atom
# Raw total energy   -4.976 eV per atom
data_Al5Ru
_chemical_formula_sum 'Al5 Ru1'
_symmetry_space_group_name_H-M 'P 1'
_symmetry_Int_Tables_number 1
_symmetry_space_group_name_Hall 'P 1'
_cell_length_a 4.7808
_cell_length_b 4.7808
_cell_length_c 4.5399
_cell_angle_alpha 90.00
_cell_angle_beta 90.00
_cell_angle_gamma 120.00
loop_
_atom_site_label
_atom_site_type_symbol
_atom_site_fract_x
_atom_site_fract_y
_atom_site_fract_z
Al1 Al 0.6521 0.3188 0.0000
Al2 Al 0.6667 0.6667 0.5000
Al3 Al 0.3333 0.6812 0.0000
Al4 Al 0.0145 0.0000 0.0000
Ru1 Ru 0.3333 0.0000 0.5000
Al5 Al 0.0000 0.3333 0.5000

Entry 12:
# Al2Ru PBE-GGA relaxed
# Symmetry   No. 123
# ΔE_f   -0.52 eV per atom
# Raw total energy   -6.103 eV per atom
data_Al2Ru
_chemical_formula_sum 'Al2 Ru1'
_symmetry_space_group_name_H-M 'P 1'
_symmetry_Int_Tables_number 1
_symmetry_space_group_name_Hall 'P 1'
_cell_length_a 4.2115
_cell_length_b 4.2115
_cell_length_c 2.8666
_cell_angle_alpha 90.00
_cell_angle_beta 90.00
_cell_angle_gamma 90.00
loop_
_atom_site_label
_atom_site_type_symbol
_atom_site_fract_x
_atom_site_fract_y
_atom_site_fract_z
Ru1 Ru 0.0000 0.0000 0.0000
Al1 Al 0.0000 0.5000 0.5000
Al2 Al 0.5000 0.0000 0.5000